# 1
ZrBRu3: optimized geometry, PBE.

Cell lengths 9.489, 5.705, 5.692 Å; angles 90.00, 112.26, 90.00 degrees
Space group Cm (No. 8)
Asymmetric unit:
Zr1 0.000 0.000 0.000 (multiplicity 2)
Zr2 0.229 0.500 0.412 (multiplicity 2)
B1 0.041 0.500 0.695 (multiplicity 2)
B2 0.297 0.000 0.203 (multiplicity 2)
Ru1 0.220 0.257 0.901 (multiplicity 4)
Ru2 0.250 0.000 0.535 (multiplicity 2)
Ru3 0.472 0.000 0.998 (multiplicity 2)
Ru4 0.476 0.256 0.413 (multiplicity 4)

Summary:
formation enthalpy at 0 K	-323	meV/atom
VASP energy	-8.93	eV per atom
ρ	9.44	g/cm³



# 2
CaTlSi2: optimized geometry, PBE.

Cell lengths 4.1329, 4.1329, 19.9067 Å; angles 90.00, 90.00, 120.00 degrees
Space group R3m (No. 160, hexagonal axes)
Asymmetric unit:
Ca1 0.0000 0.0000 0.0000 (multiplicity 3)
Tl1 0.0000 0.0000 0.2112 (multiplicity 3)
Si1 0.0000 0.0000 0.4232 (multiplicity 3)
Si2 0.0000 0.0000 0.7886 (multiplicity 3)

Summary:
formation energy (no corrections)	0.00	eV per atom
energy relative to the lowest polymorph listed for this composition	0.39	eV per formula unit
VASP energy	-3.81	eV per atom
ρ	5.09	g/cm³



# 3
LaTe2Mo: optimized geometry, PBE.

Cell lengths 3.9415, 3.9415, 26.3797 Å; angles 90.00, 90.00, 120.00 degrees
Space group R3m (No. 160, hexagonal axes)
Asymmetric unit:
La1 0.0000 0.0000 0.0000 (multiplicity 3)
Te1 0.0000 0.0000 0.2521 (multiplicity 3)
Te2 0.0000 0.0000 0.4701 (multiplicity 3)
Mo1 0.0000 0.0000 0.7490 (multiplicity 3)

Summary:
formation energy (no corrections)	-0.06	eV per atom
energy relative to the lowest polymorph listed for this composition	1.80	eV per formula unit
VASP energy	-5.57	eV per atom
ρ	6.88	g/cm³